Entry 1:
First-principles (PBE) data for an optimized crystal structure of CaYPbO2, as listed in Alexandria via LeMat-Bulk.

Unit cell a=4.457 b=4.457 c=6.137 alpha=90.00 beta=90.00 gamma=90.00
Fractional positions:
Ca 0.000 0.000 0.000
Y 0.500 0.500 0.500
Pb 0.500 0.500 0.000
O 0.000 0.500 0.500
O 0.500 0.000 0.500

Computed properties:
Total DFT energy (no corrections) ... -5.65 eV per atom
Raw formation energy ... -1232 meV per atom
Symmetry ... P4/mmm, No. 123


Entry 2:
First-principles (PBE) data for an optimized crystal structure of Ca3YPb2O, as listed in Alexandria via LeMat-Bulk.

Unit cell a=9.097 b=9.097 c=9.097 alpha=150.00 beta=149.68 gamma=43.17
Fractional positions:
Ca 0.000 0.000 0.000
Ca 0.169 0.669 0.500
Ca 0.831 0.331 0.500
Y 0.500 0.500 0.000
Pb 0.364 0.864 0.500
Pb 0.636 0.136 0.500
O 0.000 0.500 0.500

Computed properties:
Total DFT energy (no corrections) ... -4.77 eV per atom
Raw formation energy ... -1224 meV per atom
Symmetry ... Immm, No. 71